Computed, not measured: an optimized crystal structure of CrCl7 at the PBE level of DFT.

formation energy without anion corrections: 567 meV per atom
theoretical density: 3.01 Mg/m³

Lattice parameters (Å, degrees): 8.7195 8.7195 8.7195 90.00 90.00 90.00
Space group Fm-3m (No. 225)
Inequivalent atoms, fractional coordinates:
Cr (0.0000, 0.0000, 0.0000) x4
Cl (0.0000, 0.0000, 0.5000) x4
Cl (0.0000, 0.2500, 0.2500) x24